(1)
This record from Alexandria describes TaZn2Os at its PBEsol-relaxed geometry. The functional is meta-GGA SCAN.

```
4
Lattice="4.6042 -1.5394 0.0000 4.6042 1.5394 0.0000 -1.2076 0.0000 4.1854" Properties=species:S:1:pos:R:3 pbc="T T T"
Ta 0.0000 0.0000 0.0000
Zn 1.3539 0.0000 3.0769
Zn 6.6469 0.0000 1.1086
Os 4.0004 0.0000 2.0927
```

=====

(2)
This record from Alexandria describes ZrTa2Os at its PBEsol-relaxed geometry. The functional is meta-GGA SCAN.

```
4
Lattice="3.2054 0.0000 0.0000 0.0000 3.2054 0.0000 0.0000 0.0000 6.7762" Properties=species:S:1:pos:R:3 pbc="T T T"
Zr 0.0000 0.0000 0.0000
Ta 0.0000 0.0000 3.2384
Ta 1.6027 1.6027 4.9486
Os 1.6027 1.6027 1.7032
```

=====

(3)
This record from Alexandria describes ZrTaOs2 at its PBEsol-relaxed geometry. The functional is meta-GGA SCAN.

```
4
Lattice="3.0512 0.0000 0.0000 0.0000 4.2362 0.0000 0.0000 0.0000 5.3138" Properties=species:S:1:pos:R:3 pbc="T T T"
Zr 0.0000 0.0000 0.0000
Ta 1.5256 2.1181 3.5274
Os 0.0000 0.0000 2.7217
Os 1.5256 2.1181 0.7872
```

=====

Table of formation enthalpy at 0 K (meV/atom), in record order: -34 -293 -133